DFT (PBE-GGA) results for YZr2Tl after structural relaxation.

It has space group P4/mmm (No. 123), with a = 3.3296 Å, b = 3.3296 Å, c = 9.0827 Å, α = 90.00°, β = 90.00° and γ = 90.00°. The asymmetric unit holds Y at (0.0000, 0.0000, 0.0000), Zr at (0.5000, 0.5000, 0.2674) and Tl at (0.0000, 0.0000, 0.5000).

As for the excess energy over the best structure of this formula in the dataset: 116.2 meV/atom. As for the density of states at the Fermi level: 5.4 states/eV/cell. Its energy relative to the elements is 0.050 eV/atom. The calculated volume is 101 Å³ per cell.



DFT (PBE-GGA) results for YZrTl after structural relaxation.

It has space group Imm2 (No. 44), with a = 3.4631 Å, b = 4.1936 Å, c = 10.6287 Å, α = 90.00°, β = 90.00° and γ = 90.00°. The asymmetric unit holds Y at (0.0000, 0.0000, 0.0000), Zr at (0.0000, 0.0000, 0.6800) and Tl at (0.0000, 0.0000, 0.3272).

As for the excess energy over the best structure of this formula in the dataset: 167.9 meV/atom. As for the density of states at the Fermi level: 8.9 states/eV/cell. Its energy relative to the elements is -0.063 eV/atom. The calculated volume is 154 Å³ per cell.



DFT (PBE-GGA) results for YZrTl after structural relaxation.

It has space group P3m1 (No. 156), with a = 5.1386 Å, b = 5.1386 Å, c = 3.5123 Å, α = 90.00°, β = 90.00° and γ = 120.00°. The asymmetric unit holds Y at (0.0000, 0.0000, 0.0000), Zr at (0.6667, 0.3333, 0.4996) and Tl at (0.3333, 0.6667, 0.5019).

As for the excess energy over the best structure of this formula in the dataset: 248.2 meV/atom. As for the density of states at the Fermi level: 3.6 states/eV/cell. Its energy relative to the elements is 0.018 eV/atom. The calculated volume is 80 Å³ per cell.



DFT (PBE-GGA) results for YZr2Tl after structural relaxation.

It has space group I-42d (No. 122), with a = 8.3937 Å, b = 8.3937 Å, c = 6.0523 Å, α = 90.00°, β = 90.00° and γ = 90.00°. The asymmetric unit holds Y at (0.0000, 0.0000, 0.0000), Zr at (0.2268, 0.2500, 0.6250) and Tl at (0.0000, 0.0000, 0.5000).

As for the excess energy over the best structure of this formula in the dataset: 424.8 meV/atom. As for the density of states at the Fermi level: 22.4 states/eV/cell. Its energy relative to the elements is 0.359 eV/atom. The calculated volume is 426 Å³ per cell.



DFT (PBE-GGA) results for YZr2Tl after structural relaxation.

It has space group Pmmm (No. 47), with a = 3.4255 Å, b = 5.3226 Å, c = 5.4651 Å, α = 90.00°, β = 90.00° and γ = 90.00°. The asymmetric unit holds Y at (0.0000, 0.0000, 0.0000), Zr at (0.0000, 0.5000, 0.5000), Zr at (0.5000, 0.0000, 0.5000) and Tl at (0.5000, 0.5000, 0.0000).

As for the excess energy over the best structure of this formula in the dataset: 81.0 meV/atom. As for the density of states at the Fermi level: 5.4 states/eV/cell. Its energy relative to the elements is 0.015 eV/atom. The calculated volume is 100 Å³ per cell.



DFT (PBE-GGA) results for YZrTl3 after structural relaxation.

It has space group Pm-3m (No. 221), with a = 5.5149 Å, b = 5.5149 Å, c = 5.5149 Å, α = 90.00°, β = 90.00° and γ = 90.00°. The asymmetric unit holds Y at (0.0000, 0.0000, 0.0000), Zr at (0.5000, 0.5000, 0.5000) and Tl at (0.0000, 0.5000, 0.5000).

As for the excess energy over the best structure of this formula in the dataset: 0.0 meV/atom. As for the density of states at the Fermi level: 2.0 states/eV/cell. Its energy relative to the elements is 0.397 eV/atom. The calculated volume is 168 Å³ per cell.